Entry from OQMD via LeMat-Bulk: a relaxed DyTlSbSe3 crystal (GGA-PBE).

Calculated values
* space group: Cmcm (63)
* total DFT energy (no corrections): -4.41 eV/atom

Unit cell a=7.7130 b=7.7130 c=11.7614 alpha=90.00 beta=90.00 gamma=150.04
Closest atoms and distances in Å follow each position.
Positions (direct):
Dy1 0.0000 0.0000 0.0000  6 Se 2.83-2.95
Dy2 0.0000 0.0000 0.5000  6 Se 2.83-2.95
Tl1 0.3106 0.6894 0.7500  4 Se 3.19-3.23, 2 Sb 3.40
Tl2 0.6894 0.3106 0.2500  4 Se 3.19-3.23, 2 Sb 3.40
Sb1 0.3740 0.6260 0.2500  4 Se 2.80-2.94
Sb2 0.6260 0.3740 0.7500  4 Se 2.80-2.94
Se1 0.0189 0.9811 0.2500  2 Sb 2.94, 2 Dy 2.95, 2 Tl 3.23
Se2 0.3653 0.6347 0.0123  1 Sb 2.80, 2 Dy 2.83
Se3 0.3653 0.6347 0.4877  1 Sb 2.80, 2 Dy 2.83
Se4 0.6347 0.3653 0.5123  1 Sb 2.80, 2 Dy 2.83
Se5 0.6347 0.3653 0.9877  1 Sb 2.80, 2 Dy 2.83
Se6 0.9811 0.0189 0.7500  2 Sb 2.94, 2 Dy 2.95, 2 Tl 3.23

=====

Entry from OQMD via LeMat-Bulk: a relaxed K2TcHgBr6 crystal (GGA-PBE).

Calculated values
* space group: Fm-3m (225)
* total DFT energy (no corrections): -3.14 eV/atom

Unit cell a=8.0739 b=8.0739 c=8.0739 alpha=60.00 beta=60.00 gamma=60.00
Closest atoms and distances in Å follow each position.
Positions (direct):
K1 0.2500 0.2500 0.2500  12 Br 4.05
K2 0.7500 0.7500 0.7500  12 Br 4.05
Tc1 0.0000 0.0000 0.0000  6 Br 2.55
Hg1 0.5000 0.5000 0.5000  6 Br 3.16
Br1 0.2233 0.2233 0.7767  1 Tc 2.55
Br2 0.2233 0.7767 0.2233  1 Tc 2.55
Br3 0.2233 0.7767 0.7767  1 Tc 2.55
Br4 0.7767 0.2233 0.2233  1 Tc 2.55
Br5 0.7767 0.2233 0.7767  1 Tc 2.55
Br6 0.7767 0.7767 0.2233  1 Tc 2.55

=====

Entry from OQMD via LeMat-Bulk: a relaxed TbSmBr2NCl crystal (GGA-PBE).

Calculated values
* ΔE to the lowest computed polymorph: 0.19 eV/f.u.
* space group: C2/m (12)
* total DFT energy (no corrections): -5.71 eV/atom

Unit cell a=8.8686 b=8.8686 c=11.1679 alpha=122.28 beta=122.28 gamma=25.49
Closest atoms and distances in Å follow each position.
Positions (direct):
Tb1 0.1385 0.1385 0.2934  2 N 2.34
Tb2 0.8615 0.8615 0.7066  2 N 2.34
Sm1 0.4184 0.4184 0.0438  2 N 2.31
Sm2 0.5816 0.5816 0.9562  2 N 2.31
Br1 0.0405 0.0405 0.7316  2 Sm 2.94, 1 Tb 2.95
Br2 0.2295 0.2295 0.1280  2 Sm 2.95, 1 Tb 3.01
Br3 0.7705 0.7705 0.8720  2 Sm 2.95, 1 Tb 3.01
Br4 0.9595 0.9595 0.2684  2 Sm 2.94, 1 Tb 2.95
N1 0.4230 0.4230 0.8412  2 Sm 2.31, 2 Tb 2.34
N2 0.5770 0.5770 0.1588  2 Sm 2.31, 2 Tb 2.34
Cl1 0.3290 0.3290 0.4921  3 Tb 2.79-2.90
Cl2 0.6710 0.6710 0.5079  3 Tb 2.79-2.90

=====

Entry from OQMD via LeMat-Bulk: a relaxed PrNpH2Br4 crystal (GGA-PBE).

Calculated values
* space group: P-6m2 (187)
* total DFT energy (no corrections): -5.16 eV/atom

Unit cell a=3.9735 b=3.9735 c=14.8462 alpha=90.00 beta=90.00 gamma=120.00
Closest atoms and distances in Å follow each position.
Positions (direct):
Pr1 0.0000 0.0000 0.0000  3 H 2.29
Np1 0.0000 0.0000 0.5000  3 H 2.29
H1 0.3333 0.6667 0.0000  3 Pr 2.29
H2 0.6667 0.3333 0.5000  3 Np 2.29
Br1 0.3333 0.6667 0.3699  3 Np 3.00, 3 H 3.00
Br2 0.3333 0.6667 0.6301  3 Np 3.00, 3 H 3.00
Br3 0.6667 0.3333 0.1339  3 Pr 3.04, 3 H 3.04
Br4 0.6667 0.3333 0.8661  3 Pr 3.04, 3 H 3.04

=====

Entry from OQMD via LeMat-Bulk: a relaxed HfZnNi2 crystal (GGA-PBE).

Calculated values
* space group: P4/mmm (123)
* total DFT energy (no corrections): -5.89 eV/atom

Unit cell a=4.2362 b=4.2362 c=3.1675 alpha=90.00 beta=90.00 gamma=90.00
Closest atoms and distances in Å follow each position.
Positions (direct):
Hf1 0.0000 0.0000 0.0000  8 Ni 2.64
Zn1 0.5000 0.5000 0.0000  8 Ni 2.64
Ni1 0.0000 0.5000 0.5000  4 Hf 2.64, 4 Zn 2.64
Ni2 0.5000 0.0000 0.5000  4 Hf 2.64, 4 Zn 2.64

=====

Entry from OQMD via LeMat-Bulk: a relaxed TmScTe crystal (GGA-PBE).

Calculated values
* ΔE to the lowest computed polymorph: 1.65 eV/f.u.
* space group: F-43m (216)
* total DFT energy (no corrections): -4.48 eV/atom

Unit cell a=5.0346 b=5.0346 c=5.0346 alpha=60.00 beta=60.00 gamma=60.00
Closest atoms and distances in Å follow each position.
Positions (direct):
Tm1 0.0000 0.0000 0.0000  4 Sc 3.08, 4 Te 3.08
Sc1 0.7500 0.7500 0.7500  4 Tm 3.08
Te1 0.2500 0.2500 0.2500  4 Tm 3.08

=====

Entry from OQMD via LeMat-Bulk: a relaxed InCuTcS3 crystal (GGA-PBE).

Calculated values
* space group: Cmcm (63)
* total DFT energy (no corrections): -5.10 eV/atom

Unit cell a=6.7968 b=6.7968 c=9.2048 alpha=90.00 beta=90.00 gamma=149.74
Closest atoms and distances in Å follow each position.
Positions (direct):
In1 0.2434 0.7566 0.7500  8 S 2.86-3.10
In2 0.7566 0.2434 0.2500  8 S 2.86-3.10
Cu1 0.0380 0.9620 0.2500  4 S 2.25-2.29
Cu2 0.9620 0.0380 0.7500  4 S 2.25-2.29
Tc1 0.5000 0.5000 0.0000  6 S 2.48-2.49
Tc2 0.5000 0.5000 0.5000  6 S 2.48-2.49
S1 0.1288 0.8712 0.0424  1 Cu 2.25, 2 Tc 2.48
S2 0.1288 0.8712 0.4576  1 Cu 2.25, 2 Tc 2.48
S3 0.4278 0.5722 0.2500  2 Cu 2.29, 2 Tc 2.49
S4 0.5722 0.4278 0.7500  2 Cu 2.29, 2 Tc 2.49
S5 0.8712 0.1288 0.5424  1 Cu 2.25, 2 Tc 2.48
S6 0.8712 0.1288 0.9576  1 Cu 2.25, 2 Tc 2.48

=====

Entry from OQMD via LeMat-Bulk: a relaxed LiHf2Ga2FeIr2 crystal (GGA-PBE).

Calculated values
* space group: P-4m2 (115)
* total DFT energy (no corrections): -7.36 eV/atom

Unit cell a=4.3898 b=4.3898 c=6.2699 alpha=90.00 beta=90.00 gamma=90.00
Closest atoms and distances in Å follow each position.
Positions (direct):
Li1 0.0000 0.0000 0.0000  4 Ga 2.69, 4 Hf 2.71
Hf1 0.0000 0.5000 0.7456  2 Fe 2.68, 4 Ir 2.68-2.71, 2 Li 2.71
Hf2 0.5000 0.0000 0.2544  2 Fe 2.68, 4 Ir 2.68-2.71, 2 Li 2.71
Ga1 0.0000 0.5000 0.2494  2 Li 2.69, 4 Ir 2.69-2.70, 2 Fe 2.70
Ga2 0.5000 0.0000 0.7506  2 Li 2.69, 4 Ir 2.69-2.70, 2 Fe 2.70
Fe1 0.5000 0.5000 0.5000  4 Hf 2.68, 4 Ga 2.70
Ir1 0.0000 0.0000 0.5000  4 Hf 2.68, 4 Ga 2.70
Ir2 0.5000 0.5000 0.0000  4 Ga 2.69, 4 Hf 2.71

=====

Entry from OQMD via LeMat-Bulk: a relaxed Hf2SnAu2 crystal (GGA-PBE).

Calculated values
* space group: I4/mmm (139)
* total DFT energy (no corrections): -6.12 eV/atom

Unit cell a=7.4276 b=7.4276 c=7.4276 alpha=148.62 beta=148.62 gamma=44.97
Closest atoms and distances in Å follow each position.
Positions (direct):
Hf1 0.1050 0.1050 0.0000  4 Au 2.83, 1 Hf 2.88
Hf2 0.8950 0.8950 0.0000  4 Au 2.83, 1 Hf 2.88
Sn1 0.5000 0.5000 0.0000  8 Hf 3.19
Au1 0.2500 0.7500 0.5000  4 Hf 2.83, 4 Au 2.84
Au2 0.7500 0.2500 0.5000  4 Hf 2.83, 4 Au 2.84

=====

Entry from OQMD via LeMat-Bulk: a relaxed LiPrTeO crystal (GGA-PBE).

Calculated values
* ΔE to the lowest computed polymorph: 0.00 eV/f.u.
* space group: P4/nmm (129)
* total DFT energy (no corrections): -5.86 eV/atom

Unit cell a=4.1872 b=4.1872 c=9.5048 alpha=90.00 beta=90.00 gamma=90.00
Closest atoms and distances in Å follow each position.
Positions (direct):
Li1 0.2500 0.7500 0.0000  4 Te 2.72, 4 Li 2.96
Li2 0.7500 0.2500 0.0000  4 Te 2.72, 4 Li 2.96
Pr1 0.2500 0.2500 0.3798  4 O 2.39
Pr2 0.7500 0.7500 0.6202  4 O 2.39
Te1 0.2500 0.2500 0.8169  4 Li 2.72
Te2 0.7500 0.7500 0.1831  4 Li 2.72
O1 0.2500 0.7500 0.5000  4 Pr 2.39
O2 0.7500 0.2500 0.5000  4 Pr 2.39

=====

Entry from OQMD via LeMat-Bulk: a relaxed PaNi4P2 crystal (GGA-PBE).

Calculated values
* space group: P4_2/mnm (136)
* total DFT energy (no corrections): -6.88 eV/atom

Unit cell a=7.0802 b=7.0802 c=3.6727 alpha=90.00 beta=90.00 gamma=90.00
Closest atoms and distances in Å follow each position.
Positions (direct):
Pa1 0.0000 0.0000 0.0000  6 P 2.82-2.86, 12 Ni 3.09-3.12
Pa2 0.5000 0.5000 0.5000  6 P 2.82-2.86, 12 Ni 3.09-3.12
Ni1 0.0896 0.3386 0.5000  3 P 2.32-2.34, 1 Ni 2.49
Ni2 0.1614 0.5896 0.0000  3 P 2.32-2.34, 1 Ni 2.49
Ni3 0.3386 0.0896 0.5000  3 P 2.32-2.34, 1 Ni 2.49
Ni4 0.4104 0.8386 0.0000  3 P 2.32-2.34, 1 Ni 2.49
Ni5 0.5896 0.1614 0.0000  3 P 2.32-2.34, 1 Ni 2.49
Ni6 0.6614 0.9104 0.5000  3 P 2.32-2.34, 1 Ni 2.49
Ni7 0.8386 0.4104 0.0000  3 P 2.32-2.34, 1 Ni 2.49
Ni8 0.9104 0.6614 0.5000  3 P 2.32-2.34, 1 Ni 2.49
P1 0.2187 0.7813 0.5000  6 Ni 2.32-2.34
P2 0.2813 0.2813 0.0000  6 Ni 2.32-2.34
P3 0.7187 0.7187 0.0000  6 Ni 2.32-2.34
P4 0.7813 0.2187 0.5000  6 Ni 2.32-2.34

=====

Entry from OQMD via LeMat-Bulk: a relaxed Na2Pt3 crystal (GGA-PBE).

Calculated values
* space group: Immm (71)
* total DFT energy (no corrections): -4.33 eV/atom

Unit cell a=5.6829 b=5.6829 c=5.6829 alpha=133.77 beta=126.12 gamma=73.67
Closest atoms and distances in Å follow each position.
Positions (direct):
Na1 0.2022 0.2022 0.0000  8 Pt 3.02-3.16
Na2 0.7978 0.7978 0.0000  8 Pt 3.02-3.16
Pt1 0.2421 0.5000 0.7421  4 Pt 2.49-2.66
Pt2 0.5000 0.0000 0.5000  4 Pt 2.60
Pt3 0.7579 0.5000 0.2579  4 Pt 2.49-2.66

=====

Entry from OQMD via LeMat-Bulk: a relaxed YTm2Lu4Ni2Te2 crystal (GGA-PBE).

Calculated values
* ΔE to the lowest computed polymorph: 0.00 eV/f.u.
* space group: Imm2 (44)
* total DFT energy (no corrections): -5.32 eV/atom

Unit cell a=9.1998 b=9.1998 c=9.1998 alpha=156.07 beta=67.03 gamma=118.44
Closest atoms and distances in Å follow each position.
Positions (direct):
Y1 0.0000 0.0000 0.0000  3 Te 3.15-3.18
Tm1 0.6207 0.2688 0.3519  2 Ni 2.80, 2 Te 3.13
Tm2 0.9170 0.2688 0.6481  2 Ni 2.80, 2 Te 3.13
Lu1 0.2838 0.4174 0.8663  2 Ni 2.73
Lu2 0.3066 0.6211 0.6855  2 Ni 2.75
Lu3 0.5511 0.4174 0.1337  2 Ni 2.73
Lu4 0.9356 0.6211 0.3145  2 Ni 2.75
Ni1 0.1676 0.9288 0.2388  4 Lu 2.73-2.75, 2 Tm 2.80
Ni2 0.6900 0.9288 0.7612  4 Lu 2.73-2.75, 2 Tm 2.80
Te1 0.2666 0.7666 0.5000  6 Lu 3.14-3.16, 2 Y 3.15
Te2 0.6619 0.6619 0.0000  2 Lu 3.08, 4 Tm 3.13, 1 Y 3.18

=====

Entry from OQMD via LeMat-Bulk: a relaxed KAg2Te3PSe crystal (GGA-PBE).

Calculated values
* space group: Cm (8)
* total DFT energy (no corrections): -3.39 eV/atom

Unit cell a=6.9179 b=6.9179 c=6.8177 alpha=117.88 beta=117.88 gamma=91.05
Closest atoms and distances in Å follow each position.
Positions (direct):
K1 0.0000 0.0000 0.0000  1 Se 3.33, 3 Te 3.45-3.54
Ag1 0.0953 0.6358 0.3544  1 Se 2.69, 3 Te 2.81-2.98
Ag2 0.6358 0.0953 0.3544  1 Se 2.69, 3 Te 2.81-2.98
Te1 0.0326 0.4572 0.8572  1 P 2.54, 1 Ag 2.81
Te2 0.4572 0.0326 0.8572  1 P 2.54, 1 Ag 2.81
Te3 0.4640 0.4640 0.6105  1 P 2.52
P1 0.4257 0.4257 0.9411  1 Se 2.25, 1 Te 2.52
Se1 0.7117 0.7117 0.3443  1 P 2.25

=====

Entry from OQMD via LeMat-Bulk: a relaxed YHo3Pb2C2 crystal (GGA-PBE).

Calculated values
* space group: P3m1 (156)
* total DFT energy (no corrections): -6.27 eV/atom

Unit cell a=3.6270 b=3.6270 c=16.0643 alpha=90.00 beta=90.00 gamma=120.00
Closest atoms and distances in Å follow each position.
Positions (direct):
Y1 0.0000 0.0000 0.0000  3 C 2.48
Ho1 0.0000 0.0000 0.6649  3 C 2.48
Ho2 0.6667 0.3333 0.1650  3 C 2.47
Ho3 0.6667 0.3333 0.5003  3 C 2.48
Pb1 0.0000 0.0000 0.3326  6 Ho 3.41, 6 Pb 3.63
Pb2 0.6667 0.3333 0.8325  3 Y 3.41, 3 Ho 3.41, 6 Pb 3.63
C1 0.3333 0.6667 0.0829  3 Ho 2.47, 3 Y 2.48
C2 0.3333 0.6667 0.5826  6 Ho 2.48

=====

Entry from OQMD via LeMat-Bulk: a relaxed AcDyCd crystal (GGA-PBE).

Calculated values
* ΔE to the lowest computed polymorph: 0.00 eV/f.u.
* space group: F-43m (216)
* total DFT energy (no corrections): -2.79 eV/atom

Unit cell a=5.2430 b=5.2430 c=5.2430 alpha=60.00 beta=60.00 gamma=60.00
Closest atoms and distances in Å follow each position.
Positions (direct):
Ac1 0.0000 0.0000 0.0000  4 Dy 3.21
Dy1 0.2500 0.2500 0.2500  4 Cd 3.21, 4 Ac 3.21
Cd1 0.5000 0.5000 0.5000  4 Dy 3.21

=====

Entry from OQMD via LeMat-Bulk: a relaxed Nd2ErCu4Sn2Ge2 crystal (GGA-PBE).

Calculated values
* ΔE to the lowest computed polymorph: 0.77 eV/f.u.
* space group: Immm (71)
* total DFT energy (no corrections): -4.72 eV/atom

Unit cell a=8.3636 b=8.3636 c=8.3636 alpha=149.42 beta=131.54 gamma=58.39
Closest atoms and distances in Å follow each position.
Positions (direct):
Nd1 0.1361 0.1361 0.0000  6 Cu 3.03-3.13, 2 Ge 3.12, 4 Sn 3.29
Nd2 0.8639 0.8639 0.0000  6 Cu 3.03-3.13, 2 Ge 3.12, 4 Sn 3.29
Er1 0.5000 0.0000 0.5000  4 Sn 2.99, 2 Ge 3.11
Cu1 0.1368 0.3241 0.8127  1 Cu 2.57, 3 Ge 2.61-2.69, 1 Sn 2.67
Cu2 0.4886 0.6759 0.8127  1 Cu 2.57, 3 Ge 2.61-2.69, 1 Sn 2.67
Cu3 0.5114 0.3241 0.1873  1 Cu 2.57, 3 Ge 2.61-2.69, 1 Sn 2.67
Cu4 0.8632 0.6759 0.1873  1 Cu 2.57, 3 Ge 2.61-2.69, 1 Sn 2.67
Sn1 0.2061 0.5000 0.7061  2 Cu 2.67, 1 Sn 2.83, 2 Er 2.99
Sn2 0.7939 0.5000 0.2939  2 Cu 2.67, 1 Sn 2.83, 2 Er 2.99
Ge1 0.2872 0.7872 0.5000  6 Cu 2.61-2.69
Ge2 0.7128 0.2128 0.5000  6 Cu 2.61-2.69

=====

Entry from OQMD via LeMat-Bulk: a relaxed TlFeAgW crystal (GGA-PBE).

Calculated values
* ΔE to the lowest computed polymorph: 0.00 eV/f.u.
* space group: F-43m (216)
* total DFT energy (no corrections): -5.73 eV/atom

Unit cell a=4.5717 b=4.5717 c=4.5717 alpha=60.00 beta=60.00 gamma=60.00
Closest atoms and distances in Å follow each position.
Positions (direct):
Tl1 0.0000 0.0000 0.0000  4 Fe 2.80, 4 Ag 2.80
Fe1 0.2500 0.2500 0.2500  4 W 2.80, 4 Tl 2.80
Ag1 0.7500 0.7500 0.7500  4 W 2.80, 4 Tl 2.80
W1 0.5000 0.5000 0.5000  4 Ag 2.80, 4 Fe 2.80

=====

Entry from OQMD via LeMat-Bulk: a relaxed GdHoB2As2Ir2 crystal (GGA-PBE).

Calculated values
* space group: P4mm (99)
* total DFT energy (no corrections): -7.07 eV/atom

Unit cell a=3.9730 b=3.9730 c=8.6415 alpha=90.00 beta=90.00 gamma=90.00
Closest atoms and distances in Å follow each position.
Positions (direct):
Gd1 0.0000 0.0000 0.0000  5 As 2.87-3.07, 4 Ir 3.20
Ho1 0.5000 0.5000 0.4201  5 As 2.86-3.05, 4 Ir 3.19
B1 0.0000 0.0000 0.6042  1 As 2.15, 4 Ir 2.19
B2 0.5000 0.5000 0.8177  1 As 2.16, 4 Ir 2.19
As1 0.0000 0.0000 0.3557  1 B 2.15
As2 0.5000 0.5000 0.0676  1 B 2.16
Ir1 0.0000 0.5000 0.7097  4 B 2.19
Ir2 0.5000 0.0000 0.7097  4 B 2.19

=====

Entry from OQMD via LeMat-Bulk: a relaxed Rb2TePtSe2 crystal (GGA-PBE).

Calculated values
* space group: P-1 (2)
* total DFT energy (no corrections): -3.60 eV/atom

Unit cell a=7.1144 b=7.1450 c=9.4742 alpha=107.33 beta=93.10 gamma=115.32
Closest atoms and distances in Å follow each position.
Positions (direct):
Rb1 0.1017 0.1769 0.3677  4 Se 3.42-3.65, 2 Te 3.59-3.64
Rb2 0.3082 0.5881 0.1454  5 Se 3.50-3.86, 2 Pt 3.61-3.81, 2 Te 3.72-3.81
Rb3 0.6918 0.4119 0.8546  5 Se 3.50-3.86, 2 Pt 3.61-3.81, 2 Te 3.72-3.81
Rb4 0.8983 0.8231 0.6323  4 Se 3.42-3.65, 2 Te 3.59-3.64
Te1 0.3910 0.8252 0.5642  1 Pt 2.72, 1 Te 2.97
Te2 0.6090 0.1748 0.4358  1 Pt 2.72, 1 Te 2.97
Pt1 0.4050 0.8207 0.8510  3 Se 2.43-2.44
Pt2 0.5950 0.1793 0.1490  3 Se 2.43-2.44
Se1 0.1856 0.4219 0.7514  1 Pt 2.43
Se2 0.2407 0.0275 0.9997  2 Pt 2.43-2.44
Se3 0.7593 0.9725 0.0003  2 Pt 2.43-2.44
Se4 0.8144 0.5781 0.2486  1 Pt 2.43